VASP calculation (PBE-GGA) on a relaxed Rb2NiIr crystal.

Unit cell a=9.1714 b=9.1714 c=9.1714 alpha=93.44 beta=93.44 gamma=151.64
Element x y z (fractional)
Rb: 0.3750 0.1682 0.2932
Rb: 0.8318 0.1250 0.2068
Rb: 0.8750 0.0818 0.7068
Rb: 0.9182 0.6250 0.7932
Ni: 0.0000 0.0000 0.0000
Ni: 0.7500 0.2500 0.5000
Ir: 0.2500 0.7500 0.5000
Ir: 0.5000 0.5000 0.0000

Properties
energy of formation = 792 meV/atom
energy above the lowest structure with this stoichiometry = 0 meV per atom
calculated volume = 44.409 A^3/atom